Material: Tb4NdSc3
Method: DFT, PBE-GGA
State: optimized geometry

Values from the calculation:
E_tot   -5.25 eV/atom
SG   No. 31
Volume   474.7 Å³/cell
Excess energy over the best structure of this formula in the dataset   0.0 meV/atom

```
data_Tb4NdSc3
_chemical_formula_sum 'Tb8 Nd2 Sc6'
_cell_length_a 6.0914
_cell_length_b 7.0799
_cell_length_c 11.0075
_cell_angle_alpha 90.00
_cell_angle_beta 90.00
_cell_angle_gamma 90.00
_symmetry_space_group_name_H-M 'P 1'
_symmetry_Int_Tables_number 1
loop_
_symmetry_equiv_pos_as_xyz
'x,y,z'
loop_
_atom_site_label
_atom_site_type_symbol
_atom_site_fract_x
_atom_site_fract_y
_atom_site_fract_z
Tb1 Tb 0.4856 0.8685 0.2449
Tb2 Tb 0.6385 0.1327 0.5000
Tb3 Tb 0.9856 0.1315 0.7449
Tb4 Tb 0.1385 0.8673 0.0000
Tb5 Tb 0.6464 0.1311 0.0000
Tb6 Tb 0.4856 0.8685 0.7551
Tb7 Tb 0.9856 0.1315 0.2551
Tb8 Tb 0.1464 0.8689 0.5000
Nd1 Nd 0.1503 0.3823 0.0000
Nd2 Nd 0.6503 0.6177 0.5000
Sc1 Sc 0.9788 0.6187 0.7488
Sc2 Sc 0.1513 0.3789 0.5000
Sc3 Sc 0.6513 0.6211 0.0000
Sc4 Sc 0.4788 0.3813 0.2488
Sc5 Sc 0.9788 0.6187 0.2512
Sc6 Sc 0.4788 0.3813 0.7512
```